[1]
# GaAg7Au12

A relaxed GaAg7Au12 crystal (PBE, Alexandria via LeMat-Bulk).

Unit cell a=7.2539 b=7.2539 c=7.2539 alpha=87.09 beta=87.09 gamma=87.09
Fractional coordinates of all 20 atoms:
Ga: 0.0000 0.0000 0.0000
Ag: 0.0674 0.1535 0.3912
Ag: 0.1535 0.3912 0.0674
Ag: 0.3912 0.0674 0.1535
Ag: 0.5000 0.5000 0.5000
Ag: 0.6088 0.9326 0.8465
Ag: 0.8465 0.6088 0.9326
Ag: 0.9326 0.8465 0.6088
Au: 0.1334 0.7508 0.2528
Au: 0.1370 0.4971 0.6257
Au: 0.2492 0.7472 0.8666
Au: 0.2528 0.1334 0.7508
Au: 0.3743 0.8630 0.5029
Au: 0.4971 0.6257 0.1370
Au: 0.5029 0.3743 0.8630
Au: 0.6257 0.1370 0.4971
Au: 0.7472 0.8666 0.2492
Au: 0.7508 0.2528 0.1334
Au: 0.8630 0.5029 0.3743
Au: 0.8666 0.2492 0.7472

formation enthalpy at 0 K: 0.83 eV/f.u.
electronic total energy: -3.074 eV per atom
total magnetic moment: 0.000 μB per formula unit
space-group type: No. 148


[2]
# Mg2SeCl

A relaxed Mg2SeCl crystal (PBE, Alexandria via LeMat-Bulk).

Unit cell a=6.9359 b=4.0333 c=6.8793 alpha=90.00 beta=109.11 gamma=90.00
Fractional coordinates of all 8 atoms:
Mg: 0.2413 0.0000 0.2333
Mg: 0.2587 0.5000 0.7667
Mg: 0.7413 0.5000 0.2333
Mg: 0.7587 0.0000 0.7667
Se: 0.0000 0.5000 0.0000
Se: 0.5000 0.0000 0.0000
Cl: 0.0000 0.0000 0.5000
Cl: 0.5000 0.5000 0.5000

electronic total energy: -3.085 eV per atom
formation energy from raw total energies: -0.955 eV/atom
total magnetic moment: 0.000 μB per formula unit
ΔE to the lowest computed polymorph: 62 meV/atom
space-group type: No. 12


[3]
# CaCo4Ru

A relaxed CaCo4Ru crystal (PBE, Alexandria via LeMat-Bulk).

Unit cell a=4.8914 b=4.8914 c=4.8914 alpha=60.00 beta=60.00 gamma=60.00
Fractional coordinates of all 6 atoms:
Ca: 0.0000 0.0000 0.0000
Co: 0.1268 0.6244 0.6244
Co: 0.6244 0.1268 0.6244
Co: 0.6244 0.6244 0.1268
Co: 0.6244 0.6244 0.6244
Ru: 0.2500 0.2500 0.2500

formation enthalpy at 0 K: 1.27 eV/f.u.
electronic total energy: -6.406 eV per atom
total magnetic moment: 8.001 μB per formula unit
space-group type: No. 216